DFT (PBE) results for crystalline Al2SiBr at its relaxed geometry.

Formation energy without anion corrections   1.0 eV/f.u.
Fermi-level density of states   1.91 states/eV/f.u.
Relative energy among the computed polymorphs   0.2756 eV/atom

Cell lengths 3.0762, 3.0762, 9.1673 Å; angles 90.00, 90.00, 90.00 degrees
Fractional coordinates of all 4 atoms:
Al  0.0000  0.0000  0.0000
Al  0.5000  0.5000  0.2136
Si  0.5000  0.5000  0.8107
Br  0.0000  0.0000  0.4048



DFT (PBE) results for crystalline LaTe2P at its relaxed geometry.

Formation energy without anion corrections   -2.3 eV/f.u.
Fermi-level density of states   1.89 states/eV/f.u.

Cell lengths 12.4606, 12.4606, 12.4606 Å; angles 159.76, 159.76, 28.78 degrees
Fractional coordinates of all 8 atoms:
La  0.0000  0.0000  0.0000
La  0.7500  0.2500  0.5000
Te  0.1280  0.6250  0.0030
Te  0.3750  0.3780  0.5030
Te  0.6220  0.1250  0.9970
Te  0.8750  0.8720  0.4970
P  0.2500  0.7500  0.5000
P  0.5000  0.5000  0.0000



DFT (PBE) results for crystalline UTe2Au at its relaxed geometry.

Formation energy without anion corrections   -0.9 eV/f.u.
Fermi-level density of states   5.46 states/eV/f.u.

Cell lengths 7.7320, 7.7320, 7.7320 Å; angles 31.64, 31.64, 31.64 degrees
Fractional coordinates of all 4 atoms:
U  0.0000  0.0000  0.0000
Te  0.5754  0.5754  0.5754
Te  0.7536  0.7536  0.7536
Au  0.1600  0.1600  0.1600



DFT (PBE) results for crystalline Mg2ReAgSe at its relaxed geometry.

Formation energy without anion corrections   5.8 eV/f.u.
Fermi-level density of states   3.84 states/eV/f.u.

Cell lengths 5.1243, 5.1243, 4.9179 Å; angles 90.00, 90.00, 90.00 degrees
Fractional coordinates of all 5 atoms:
Mg  0.0000  0.5000  0.0000
Mg  0.5000  0.0000  0.0000
Re  0.0000  0.0000  0.0000
Ag  0.0000  0.0000  0.5000
Se  0.5000  0.5000  0.5000



DFT (PBE) results for crystalline SrH16O10 at its relaxed geometry.

Fermi-level density of states   0.00 states/eV/f.u.
Relative energy among the computed polymorphs   0.0000 eV/atom

Cell lengths 6.3249, 6.3249, 11.1637 Å; angles 90.31, 90.31, 89.96 degrees
Fractional coordinates of all 54 atoms:
Sr  0.0020  0.9980  0.7500
Sr  0.9980  0.0020  0.2500
H  0.0311  0.4508  0.6291
H  0.0316  0.5490  0.1289
H  0.1403  0.6849  0.9676
H  0.1408  0.3165  0.4678
H  0.2738  0.3895  0.6477
H  0.2746  0.6088  0.1472
H  0.2776  0.6092  0.8547
H  0.2787  0.3925  0.3554
H  0.3151  0.8598  0.5324
H  0.3165  0.1408  0.9678
H  0.3895  0.2738  0.1477
H  0.3908  0.7224  0.6453
H  0.3912  0.7254  0.3528
H  0.3925  0.2787  0.8554
H  0.4508  0.0311  0.1291
H  0.4510  0.9684  0.3711
H  0.5490  0.0316  0.6289
H  0.5492  0.9689  0.8709
H  0.6075  0.7213  0.1446
H  0.6088  0.2746  0.6472
H  0.6092  0.2776  0.3547
H  0.6105  0.7262  0.8523
H  0.6835  0.8592  0.0322
H  0.6849  0.1403  0.4676
H  0.7213  0.6075  0.6446
H  0.7224  0.3908  0.1453
H  0.7254  0.3912  0.8528
H  0.7262  0.6105  0.3523
H  0.8592  0.6835  0.5322
H  0.8598  0.3151  0.0323
H  0.9684  0.4510  0.8711
H  0.9689  0.5492  0.3709
O  0.1309  0.3279  0.6234
O  0.1320  0.6709  0.1230
O  0.1348  0.6707  0.8782
O  0.1361  0.3312  0.3785
O  0.3279  0.1309  0.1234
O  0.3293  0.8652  0.6218
O  0.3291  0.8680  0.3770
O  0.3312  0.1361  0.8785
O  0.4975  0.4986  0.1830
O  0.4986  0.4975  0.6830
O  0.5014  0.5025  0.3170
O  0.5025  0.5014  0.8170
O  0.6688  0.8639  0.1215
O  0.6709  0.1320  0.6230
O  0.6707  0.1348  0.3782
O  0.6721  0.8691  0.8766
O  0.8639  0.6688  0.6215
O  0.8652  0.3293  0.1218
O  0.8680  0.3291  0.8770
O  0.8691  0.6721  0.3766



DFT (PBE) results for crystalline Tb5HoSc4 at its relaxed geometry.

Fermi-level density of states   12.07 states/eV/f.u.
Energy of formation   0.1647 eV per atom

Cell lengths 8.7462, 8.7462, 7.7312 Å; angles 90.00, 90.00, 90.00 degrees
Fractional coordinates of all 20 atoms:
Tb  0.0575  0.0575  0.2004
Tb  0.0575  0.4425  0.2004
Tb  0.2500  0.7500  0.0000
Tb  0.4425  0.0575  0.2004
Tb  0.4425  0.4425  0.2004
Tb  0.5575  0.5575  0.7996
Tb  0.5575  0.9425  0.7996
Tb  0.7500  0.2500  0.0000
Tb  0.9425  0.5575  0.7996
Tb  0.9425  0.9425  0.7996
Ho  0.2500  0.2500  0.8768
Ho  0.7500  0.7500  0.1232
Sc  0.0183  0.7500  0.4142
Sc  0.2500  0.5183  0.5858
Sc  0.2500  0.9817  0.5858
Sc  0.4817  0.7500  0.4142
Sc  0.5183  0.2500  0.5858
Sc  0.7500  0.0183  0.4142
Sc  0.7500  0.4817  0.4142
Sc  0.9817  0.2500  0.5858



DFT (PBE) results for crystalline ZnPAu2 at its relaxed geometry.

Fermi-level density of states   1.12 states/eV/f.u.
Relative energy among the computed polymorphs   0.0791 eV/atom
Energy of formation   0.1509 eV per atom

Cell lengths 8.2408, 8.2408, 8.2408 Å; angles 21.87, 21.87, 21.87 degrees
Fractional coordinates of all 4 atoms:
Zn  0.0000  0.0000  0.0000
P  0.5000  0.5000  0.5000
Au  0.2484  0.2484  0.2484
Au  0.7516  0.7516  0.7516



DFT (PBE) results for crystalline ErTlZnNi at its relaxed geometry.

Fermi-level density of states   2.80 states/eV/f.u.
Energy of formation   -0.1705 eV per atom

Cell lengths 4.7261, 4.7261, 4.7261 Å; angles 60.00, 60.00, 60.00 degrees
Fractional coordinates of all 4 atoms:
Er  0.0000  0.0000  0.0000
Tl  0.5000  0.5000  0.5000
Zn  0.2500  0.2500  0.2500
Ni  0.7500  0.7500  0.7500



DFT (PBE) results for crystalline Rb4PbO3 at its relaxed geometry.

Formation energy without anion corrections   -9.1 eV/f.u.
Fermi-level density of states   0.00 states/eV/f.u.
Relative energy among the computed polymorphs   0.0202 eV/atom

Cell lengths 7.3696, 7.3696, 11.3060 Å; angles 117.11, 117.11, 61.10 degrees
Fractional coordinates of all 16 atoms:
Rb  0.0749  0.9251  0.5000
Rb  0.1757  0.3509  0.4148
Rb  0.3341  0.6500  0.8229
Rb  0.3509  0.1757  0.9148
Rb  0.5108  0.8240  0.2400
Rb  0.6500  0.3341  0.3229
Rb  0.8240  0.5108  0.7400
Rb  0.9251  0.0749  0.0000
Pb  0.0028  0.6966  0.1254
Pb  0.6966  0.0028  0.6254
O  0.0121  0.0427  0.7629
O  0.0427  0.0121  0.2629
O  0.1891  0.6288  0.9934
O  0.6288  0.1891  0.4934
O  0.6775  0.8165  0.9865
O  0.8165  0.6775  0.4865



DFT (PBE) results for crystalline CdCu3Sn5 at its relaxed geometry.

Fermi-level density of states   2.69 states/eV/f.u.
Energy of formation   0.1038 eV per atom

Cell lengths 6.8507, 6.8507, 10.2260 Å; angles 109.90, 109.90, 80.04 degrees
Fractional coordinates of all 18 atoms:
Cd  0.2467  0.2467  0.2769
Cd  0.7533  0.7533  0.7231
Cu  0.0000  0.0000  0.0000
Cu  0.0164  0.0164  0.7550
Cu  0.4956  0.4956  0.2312
Cu  0.5000  0.5000  0.5000
Cu  0.5044  0.5044  0.7688
Cu  0.9836  0.9836  0.2450
Sn  0.1632  0.6632  0.5999
Sn  0.2202  0.2202  0.6676
Sn  0.2563  0.2563  0.9899
Sn  0.2987  0.7013  0.0000
Sn  0.3368  0.8368  0.4001
Sn  0.6632  0.1632  0.5999
Sn  0.7013  0.2987  0.0000
Sn  0.7437  0.7437  0.0101
Sn  0.7798  0.7798  0.3324
Sn  0.8368  0.3368  0.4001



DFT (PBE) results for crystalline KAu2Cl at its relaxed geometry.

Formation energy without anion corrections   -2.3 eV/f.u.
Fermi-level density of states   0.79 states/eV/f.u.
Relative energy among the computed polymorphs   0.0000 eV/atom

Cell lengths 3.8924, 3.7679, 7.4685 Å; angles 90.00, 103.26, 90.00 degrees
Fractional coordinates of all 4 atoms:
K  0.0000  0.0000  0.0000
Au  0.2709  0.5000  0.5938
Au  0.7434  0.0000  0.5314
Cl  0.5768  0.5000  0.1746



DFT (PBE) results for crystalline Dy2Er3N4 at its relaxed geometry.

Formation energy without anion corrections   -14.0 eV/f.u.
Fermi-level density of states   2.63 states/eV/f.u.

Cell lengths 5.9981, 5.9981, 8.5106 Å; angles 118.26, 118.26, 33.48 degrees
Fractional coordinates of all 9 atoms:
Dy  0.1053  0.1053  0.3890
Dy  0.8947  0.8947  0.6110
Er  0.2952  0.2952  0.1890
Er  0.5000  0.5000  0.0000
Er  0.7048  0.7048  0.8110
N  0.1027  0.1027  0.9030
N  0.3006  0.3006  0.6993
N  0.6994  0.6994  0.3007
N  0.8973  0.8973  0.0970